# Pm3TcPb | the Alexandria database | PBE | relaxed
data_Pm3TcPb
_space_group_name_H-M_alt 'P 1'
_space_group_IT_number 1
_space_group_name_Hall 'P 1'
_cell_length_a 5.3767
_cell_length_b 5.3767
_cell_length_c 5.3767
_cell_angle_alpha 90.00
_cell_angle_beta 90.00
_cell_angle_gamma 90.00
loop_
_atom_site_label
_atom_site_type_symbol
_atom_site_fract_x
_atom_site_fract_y
_atom_site_fract_z
Pm1 Pm 0.0000 0.0000 0.5000
Pm2 Pm 0.0000 0.5000 0.0000
Pm3 Pm 0.5000 0.0000 0.0000
Tc1 Tc 0.0000 0.0000 0.0000
Pb1 Pb 0.5000 0.5000 0.5000
# E_form = -23 meV per atom
# Density of states at the Fermi level = 0.7841 states/eV per atom